Entry one
DFT (GGA-PBE) results for Tl4AuSe3 after structural relaxation.

Lattice parameters (Å, degrees): 7.4308 7.4308 16.5609 90.00 90.00 90.00
With the nearest neighbours (Å) after each atom.
Space group I4/mcm (No. 140)
Asymmetric unit:
Tl1 0.1572 0.3428 0.1491 x16  3 Se 3.02-3.26, 1 Tl 3.30
Au1 0.0000 0.0000 0.0000 x4  4 Se 2.73
Se1 0.0000 0.0000 0.2500 x4  8 Tl 3.26
Se2 0.1777 0.3223 0.5000 x8  2 Au 2.73, 2 Tl 3.02

Density of states at the Fermi level in states/eV per atom: 0.537



Entry two
DFT (GGA-PBE) results for Tl4AuSe3 after structural relaxation.

Lattice parameters (Å, degrees): 17.8025 5.6653 12.5858 90.00 134.67 90.00
With the nearest neighbours (Å) after each atom.
Space group C2/m (No. 12)
Asymmetric unit:
Tl1 0.0661 0.0000 0.3214 x4  3 Se 3.09-3.26, 1 Tl 3.40
Tl2 0.1049 0.5000 0.8162 x4  6 Se 3.32-3.51, 3 Tl 3.40-3.59
Tl3 0.2096 0.5000 0.6037 x4  6 Se 3.31-3.53, 3 Tl 3.40-3.60
Tl4 0.2432 0.0000 0.8103 x4  3 Se 3.09-3.28, 1 Tl 3.40
Au1 0.0000 0.2501 0.0000 x4  4 Se 2.80, 2 Au 2.83
Se1 0.0000 0.2394 0.5000 x4  2 Se 2.71-2.95
Se2 0.1277 0.5000 0.2697 x4  2 Au 2.80, 1 Tl 3.09
Se3 0.1424 0.0000 0.0138 x4  2 Au 2.80, 1 Tl 3.09

Density of states at the Fermi level in states/eV per atom: 0.271



Which is most stable, and by how much? entry two, by 0.028 eV/atom.



Entry one
DFT (GGA-PBE) results for WAuSe2 after structural relaxation.

Lattice parameters (Å, degrees): 13.1079 3.0266 4.9272 90.00 111.87 90.00
With the nearest neighbours (Å) after each atom.
Space group C2/m (No. 12)
Asymmetric unit:
W1 0.0000 0.0000 0.0000 x2  4 Se 2.51
Au1 0.0000 0.5000 0.5000 x2  4 W 2.89, 2 Au 3.03, 4 Se 3.17-3.18
Se1 0.1646 0.5000 0.1646 x4  2 W 2.51

Density of states at the Fermi level in states/eV per atom: 1.035



Entry two
DFT (GGA-PBE) results for WAuSe2 after structural relaxation.

Lattice parameters (Å, degrees): 3.4793 3.6138 7.5760 90.00 102.96 90.00
With the nearest neighbours (Å) after each atom.
Space group Pm (No. 6)
Asymmetric unit:
W1 0.0000 0.0000 0.0000 x1  3 Se 2.46-2.51
Au1 0.5878 0.5000 0.1798 x1  4 Se 2.77, 4 W 2.84
Se1 0.1659 0.0000 0.3398 x1  1 W 2.51, 4 Au 2.77
Se2 0.8897 0.5000 0.7741 x1  2 W 2.46

Density of states at the Fermi level in states/eV per atom: 0.550



Entry three
DFT (GGA-PBE) results for WAuSe2 after structural relaxation.

Lattice parameters (Å, degrees): 3.3097 3.3097 25.7466 90.00 90.00 120.00
With the nearest neighbours (Å) after each atom.
Space group R-3m (No. 166, hexagonal axes)
Asymmetric unit:
W1 0.0000 0.0000 0.0000 x3  6 Se 2.56
Au1 0.0000 0.0000 0.5000 x3  2 Se 2.58
Se1 0.0000 0.0000 0.3997 x6  3 W 2.56, 1 Au 2.58

Density of states at the Fermi level in states/eV per atom: 0.610



Which is most stable, and by how much? entry three, by 0.184 eV/atom.



Entry one
DFT (GGA-PBE) results for WAuSe2 after structural relaxation.

Lattice parameters (Å, degrees): 3.9024 3.9024 9.6330 90.00 90.00 90.00
With the nearest neighbours (Å) after each atom.
Space group I-4m2 (No. 119)
Asymmetric unit:
W1 0.0000 0.0000 0.0000 x2  4 Se 2.76
Au1 0.0000 0.5000 0.7500 x2  4 Se 2.76
Se1 0.0000 0.0000 0.5000 x2  4 W 2.76
Se2 0.0000 0.5000 0.2500 x2  4 Au 2.76

Density of states at the Fermi level in states/eV per atom: 0.876



Entry two
DFT (GGA-PBE) results for WAuSe2 after structural relaxation.

Lattice parameters (Å, degrees): 6.5579 6.5579 6.5579 90.00 90.00 90.00
With the nearest neighbours (Å) after each atom.
Space group Fm-3m (No. 225)
Asymmetric unit:
W1 0.0000 0.0000 0.0000 x4  8 Se 2.84
Au1 0.0000 0.0000 0.5000 x4  8 Se 2.84
Se1 0.2500 0.2500 0.2500 x8  4 W 2.84, 4 Au 2.84

Density of states at the Fermi level in states/eV per atom: 0.911



Entry three
DFT (GGA-PBE) results for WAuSe2 after structural relaxation.

Lattice parameters (Å, degrees): 4.3681 4.3681 7.3699 90.00 90.00 90.00
With the nearest neighbours (Å) after each atom.
Space group I4/mmm (No. 139)
Asymmetric unit:
W1 0.0000 0.0000 0.0000 x2  8 Se 2.86, 4 Au 3.09
Au1 0.0000 0.0000 0.5000 x2  8 Se 2.86, 4 W 3.09
Se1 0.0000 0.5000 0.2500 x4  4 W 2.86, 4 Au 2.86, 4 Se 3.09

Density of states at the Fermi level in states/eV per atom: 0.685



Entry four
DFT (GGA-PBE) results for WAuSe2 after structural relaxation.

Lattice parameters (Å, degrees): 6.5161 8.6383 2.7159 90.00 90.00 90.00
With the nearest neighbours (Å) after each atom.
Space group Cmmm (No. 65)
Asymmetric unit:
W1 0.0000 0.0000 0.0000 x2  4 Se 2.71, 2 W 2.72
Au1 0.0000 0.5000 0.0000 x2  4 Se 2.71, 2 Au 2.72
Se1 0.2500 0.2500 0.0000 x4  2 W 2.71, 2 Au 2.71, 2 Se 2.72

Density of states at the Fermi level in states/eV per atom: 0.669



Which is most stable, and by how much? entry three, by 0.020 eV/atom.



Entry one
DFT (GGA-PBE) results for W3AuSe after structural relaxation.

Lattice parameters (Å, degrees): 4.8787 4.8787 4.8787 90.00 90.00 90.00
With the nearest neighbours (Å) after each atom.
Space group Pm-3m (No. 221)
Asymmetric unit:
W1 0.0000 0.0000 0.5000 x3  2 Au 2.44
Au1 0.0000 0.0000 0.0000 x1  6 W 2.44
Se1 0.5000 0.5000 0.5000 x1  12 W 3.45

Density of states at the Fermi level in states/eV per atom: 1.818



Entry two
DFT (GGA-PBE) results for W3AuSe after structural relaxation.

Lattice parameters (Å, degrees): 4.5878 4.5878 4.5878 90.00 90.00 90.00
With the nearest neighbours (Å) after each atom.
Space group Pm-3m (No. 221)
Asymmetric unit:
W1 0.0000 0.0000 0.5000 x3  2 Se 2.29
Au1 0.5000 0.5000 0.5000 x1  12 W 3.24
Se1 0.0000 0.0000 0.0000 x1  6 W 2.29

Density of states at the Fermi level in states/eV per atom: 1.037



Which is most stable, and by how much? entry two, by 1.134 eV/atom.



Entry one
DFT (GGA-PBE) results for WAu3Se after structural relaxation.

Lattice parameters (Å, degrees): 5.0594 5.0594 5.0594 90.00 90.00 90.00
With the nearest neighbours (Å) after each atom.
Space group Pm-3m (No. 221)
Asymmetric unit:
W1 0.0000 0.0000 0.0000 x1  6 Au 2.53
Au1 0.0000 0.0000 0.5000 x3  2 W 2.53
Se1 0.5000 0.5000 0.5000 x1  12 Au 3.58

Density of states at the Fermi level in states/eV per atom: 1.177



Entry two
DFT (GGA-PBE) results for WAu3Se after structural relaxation.

Lattice parameters (Å, degrees): 4.9428 4.9428 4.9428 90.00 90.00 90.00
With the nearest neighbours (Å) after each atom.
Space group Pm-3m (No. 221)
Asymmetric unit:
W1 0.0000 0.0000 0.0000 x1  12 Au 3.50
Au1 0.0000 0.5000 0.5000 x3  2 Se 2.47
Se1 0.5000 0.5000 0.5000 x1  6 Au 2.47

Density of states at the Fermi level in states/eV per atom: 0.698



Which is most stable, and by how much? entry one, by 0.094 eV/atom.



Entry one
DFT (GGA-PBE) results for YAuSe3 after structural relaxation.

Lattice parameters (Å, degrees): 5.4552 5.4552 5.4552 90.00 90.00 90.00
With the nearest neighbours (Å) after each atom.
Space group Pm-3m (No. 221)
Asymmetric unit:
Y1 0.0000 0.0000 0.0000 x1  6 Se 2.73
Au1 0.5000 0.5000 0.5000 x1  12 Se 3.86
Se1 0.0000 0.0000 0.5000 x3  2 Y 2.73

Density of states at the Fermi level in states/eV per atom: 1.241



Entry two
DFT (GGA-PBE) results for YAuSe3 after structural relaxation.

Lattice parameters (Å, degrees): 5.0560 5.0560 5.0560 90.00 90.00 90.00
With the nearest neighbours (Å) after each atom.
Space group Pm-3m (No. 221)
Asymmetric unit:
Y1 0.0000 0.0000 0.0000 x1  12 Se 3.58
Au1 0.5000 0.5000 0.5000 x1  6 Se 2.53
Se1 0.0000 0.5000 0.5000 x3  2 Au 2.53

Density of states at the Fermi level in states/eV per atom: 0.327



Which is most stable, and by how much? entry two, by 0.296 eV/atom.